This record from Alexandria describes crystalline NaTc2F8 at its relaxed geometry. The functional is PBE-GGA.

a b c (Å): 5.326 6.178 6.178
angles (deg): 57.95 97.45 97.45
Site moments in Bohr magnetons follow the coordinates.
Atoms (fractional coordinates):
Na 0.000 0.000 0.000  0.00
Tc 0.499 0.744 0.744  2.04
Tc 0.501 0.256 0.256  2.04
F 0.292 0.391 0.909  0.03
F 0.708 0.091 0.609  0.03
F 0.264 0.865 0.865  0.11
F 0.736 0.135 0.135  0.11
F 0.292 0.909 0.391  0.03
F 0.708 0.609 0.091  0.03
F 0.732 0.626 0.626  0.15
F 0.268 0.374 0.374  0.15

## Properties
Symmetry ... No. 12
Uncorrected formation energy ... -2.07 eV/atom
Final energy ... -59.83 eV/cell